DFT (GGA-PBE) results for a relaxed structure of SbTePd2.

Results
ΔE_f (raw), eV per atom: -0.26
SG: No. 166

Geometry as POSCAR:
```
SbTePd2
1.0
2.006 1.158 6.207
-2.006 1.158 6.207
0.000 -2.316 6.207
Sb Te Pd
1 1 2
Direct
0.000 0.000 0.000 Sb
0.500 0.500 0.500 Te
0.256 0.256 0.256 Pd
0.744 0.744 0.744 Pd
```

=====

DFT (GGA-PBE) results for a relaxed structure of SmU2S3.

Results
ΔE_f (raw), eV per atom: -1.56
SG: No. 14

Geometry as POSCAR:
```
SmU2S3
1.0
5.541 0.000 0.000
0.000 11.748 0.000
-0.015 0.000 7.811
Sm U S
4 8 12
Direct
0.250 0.080 0.126 Sm
0.250 0.420 0.626 Sm
0.750 0.580 0.374 Sm
0.750 0.920 0.874 Sm
0.249 0.084 0.622 U
0.249 0.416 0.122 U
0.251 0.747 0.624 U
0.251 0.753 0.124 U
0.749 0.247 0.876 U
0.749 0.253 0.376 U
0.751 0.584 0.878 U
0.751 0.916 0.378 U
0.249 0.248 0.874 S
0.249 0.252 0.374 S
0.250 0.585 0.368 S
0.250 0.915 0.868 S
0.251 0.586 0.880 S
0.251 0.914 0.380 S
0.749 0.086 0.620 S
0.749 0.414 0.120 S
0.750 0.085 0.132 S
0.750 0.415 0.632 S
0.751 0.748 0.626 S
0.751 0.752 0.126 S
```

=====

DFT (GGA-PBE) results for a relaxed structure of CeHfMnN3.

Results
ΔE_f (raw), eV per atom: -1.21
SG: No. 11

Geometry as POSCAR:
```
CeHfMnN3
1.0
7.062 0.000 0.000
0.000 3.229 0.000
-1.636 0.000 6.908
Ce Hf Mn N
2 2 2 6
Direct
0.187 0.250 0.207 Ce
0.813 0.750 0.793 Ce
0.347 0.750 0.840 Hf
0.653 0.250 0.160 Hf
0.087 0.250 0.589 Mn
0.913 0.750 0.411 Mn
0.126 0.250 0.863 N
0.191 0.750 0.495 N
0.433 0.750 0.154 N
0.567 0.250 0.846 N
0.809 0.250 0.505 N
0.874 0.750 0.137 N
```

=====

DFT (GGA-PBE) results for a relaxed structure of KCd12Hg6.

Results
SG: No. 166
Offset from the most stable computed form, meV/atom: 39

Geometry as POSCAR:
```
KCd12Hg6
1.0
7.295 4.212 2.948
-7.295 4.212 2.948
0.000 -8.423 2.948
K Cd Hg
1 12 6
Direct
0.000 0.000 0.000 K
0.160 0.473 0.473 Cd
0.172 0.500 0.828 Cd
0.172 0.828 0.500 Cd
0.473 0.160 0.473 Cd
0.473 0.473 0.160 Cd
0.500 0.172 0.828 Cd
0.500 0.828 0.172 Cd
0.527 0.527 0.840 Cd
0.527 0.840 0.527 Cd
0.828 0.172 0.500 Cd
0.828 0.500 0.172 Cd
0.840 0.527 0.527 Cd
0.149 0.149 0.488 Hg
0.149 0.488 0.149 Hg
0.488 0.149 0.149 Hg
0.512 0.851 0.851 Hg
0.851 0.512 0.851 Hg
0.851 0.851 0.512 Hg
```

=====

DFT (GGA-PBE) results for a relaxed structure of Nd4Sm10Sc.

Results
SG: No. 87

Geometry as POSCAR:
```
Nd4Sm10Sc
1.0
-4.947 4.947 5.258
4.947 -4.947 5.258
4.947 4.947 -5.258
Nd Sm Sc
4 10 1
Direct
0.058 0.678 0.736 Nd
0.322 0.058 0.380 Nd
0.678 0.942 0.620 Nd
0.942 0.322 0.264 Nd
0.131 0.223 0.678 Sm
0.223 0.544 0.092 Sm
0.250 0.750 0.500 Sm
0.452 0.131 0.908 Sm
0.456 0.548 0.678 Sm
0.544 0.452 0.322 Sm
0.548 0.869 0.092 Sm
0.750 0.250 0.500 Sm
0.777 0.456 0.908 Sm
0.869 0.777 0.322 Sm
0.000 0.000 0.000 Sc
```

=====

DFT (GGA-PBE) results for a relaxed structure of TaOsAu2.

Results
SG: No. 122
Offset from the most stable computed form, meV/atom: 1545

Geometry as POSCAR:
```
TaOsAu2
1.0
-2.949 2.949 5.646
2.949 -2.949 5.646
2.949 2.949 -5.646
Ta Os Au
2 2 4
Direct
0.000 0.000 0.000 Ta
0.750 0.250 0.500 Ta
0.250 0.750 0.500 Os
0.500 0.500 0.000 Os
0.135 0.625 0.010 Au
0.375 0.385 0.510 Au
0.615 0.125 0.990 Au
0.875 0.865 0.490 Au
```

=====

DFT (GGA-PBE) results for a relaxed structure of ZrNiH3.

Results
SG: No. 20

Geometry as POSCAR:
```
ZrNiH3
1.0
1.769 -5.387 0.000
1.769 5.387 0.000
0.000 0.000 4.347
Zr Ni H
2 2 6
Direct
0.151 0.849 0.750 Zr
0.849 0.151 0.250 Zr
0.431 0.569 0.750 Ni
0.569 0.431 0.250 Ni
0.207 0.207 0.500 H
0.310 0.680 0.001 H
0.320 0.690 0.499 H
0.680 0.310 0.999 H
0.690 0.320 0.501 H
0.793 0.793 0.000 H
```

=====

DFT (GGA-PBE) results for a relaxed structure of In2Ag5Hg.

Results
SG: No. 55
Offset from the most stable computed form, meV/atom: 12

Geometry as POSCAR:
```
In2Ag5Hg
1.0
9.780 0.000 0.000
0.000 10.446 0.000
0.000 0.000 6.251
In Ag Hg
8 20 4
Direct
0.000 0.000 0.247 In
0.000 0.000 0.753 In
0.232 0.403 0.500 In
0.268 0.903 0.500 In
0.500 0.500 0.247 In
0.500 0.500 0.753 In
0.732 0.097 0.500 In
0.768 0.597 0.500 In
0.000 0.500 0.252 Ag
0.000 0.500 0.748 Ag
0.010 0.752 0.000 Ag
0.011 0.754 0.500 Ag
0.248 0.159 0.252 Ag
0.248 0.159 0.748 Ag
0.252 0.659 0.252 Ag
0.252 0.659 0.748 Ag
0.489 0.254 0.500 Ag
0.490 0.252 0.000 Ag
0.500 0.000 0.252 Ag
0.500 0.000 0.748 Ag
0.510 0.748 0.000 Ag
0.511 0.746 0.500 Ag
0.748 0.341 0.252 Ag
0.748 0.341 0.748 Ag
0.752 0.841 0.252 Ag
0.752 0.841 0.748 Ag
0.989 0.246 0.500 Ag
0.990 0.248 0.000 Ag
0.234 0.405 0.000 Hg
0.266 0.905 0.000 Hg
0.734 0.095 0.000 Hg
0.766 0.595 0.000 Hg
```

=====

DFT (GGA-PBE) results for a relaxed structure of Cd3SeO6.

Results
ΔE_f (raw), eV per atom: -0.86
SG: No. 14
Offset from the most stable computed form, meV/atom: 21

Geometry as POSCAR:
```
Cd3SeO6
1.0
5.482 0.000 0.000
0.000 5.637 0.000
-5.404 0.000 7.986
Cd Se O
6 2 12
Direct
0.000 0.000 0.000 Cd
0.000 0.500 0.500 Cd
0.260 0.048 0.745 Cd
0.260 0.452 0.245 Cd
0.740 0.548 0.755 Cd
0.740 0.952 0.255 Cd
0.500 0.000 0.500 Se
0.500 0.500 0.000 Se
0.168 0.062 0.285 O
0.168 0.438 0.785 O
0.282 0.678 0.053 O
0.282 0.822 0.553 O
0.412 0.234 0.077 O
0.412 0.266 0.577 O
0.588 0.734 0.423 O
0.588 0.766 0.923 O
0.718 0.178 0.447 O
0.718 0.322 0.947 O
0.832 0.562 0.215 O
0.832 0.938 0.715 O
```

=====

DFT (GGA-PBE) results for a relaxed structure of SrTa2Cr.

Results
SG: No. 6
Offset from the most stable computed form, meV/atom: 86

Geometry as POSCAR:
```
SrTa2Cr
1.0
3.050 0.000 0.000
0.000 4.282 0.000
-0.540 0.000 6.992
Sr Ta Cr
1 2 1
Direct
0.000 0.000 0.000 Sr
0.292 0.000 0.532 Ta
0.808 0.500 0.359 Ta
0.645 0.500 0.672 Cr
```

=====

DFT (GGA-PBE) results for a relaxed structure of Li2CuPd.

Results
SG: No. 166

Geometry as POSCAR:
```
Li2CuPd
1.0
1.356 0.783 9.006
-1.356 0.783 9.006
0.000 -1.566 9.006
Li Cu Pd
2 1 1
Direct
0.089 0.089 0.089 Li
0.911 0.911 0.911 Li
0.500 0.500 0.500 Cu
0.000 0.000 0.000 Pd
```

=====

DFT (GGA-PBE) results for a relaxed structure of HfCrI3.

Results
ΔE_f (raw), eV per atom: 0.61
SG: No. 221
Offset from the most stable computed form, meV/atom: 345

Geometry as POSCAR:
```
HfCrI3
1.0
5.488 0.000 0.000
0.000 5.488 0.000
0.000 0.000 5.488
Hf Cr I
1 1 3
Direct
0.000 0.000 0.000 Hf
0.500 0.500 0.500 Cr
0.000 0.500 0.500 I
0.500 0.000 0.500 I
0.500 0.500 0.000 I
```

=====

So what do the calculations give for E? Going down the list: -18.7; -196.2; -114.6; -13.0; -67.5; -46.6; -52.7; -79.1; -89.2; -32.3; -13.4; -21.2 eV per cell.
So what do the calculations give for Fermi-level density of states? Going down the list: 2.4; 11.9; 2.7; 8.6; 21.7; 2.3; 1.8; 2.6; 4.0; 4.7; 3.1; 8.1 states/eV/f.u..
So what do the calculations give for total moment? Going down the list: 0.000; 0.812; 0.000; 0.000; 0.000; 0.000; 0.000; 0.000; 0.000; 0.000; 0.000; 1.114 μB per atom.